Entry 1:
The following is a PBE-GGA calculation of crystalline PrLuGa2Pd4 at its relaxed geometry, from OQMD via LeMat-Bulk.

Symmetry ... P-6m2 (187)
Total magnetic moment ... 0.0 Bohr magnetons per cell

abc: 4.4268 4.4268 9.1557
angles: 90.00 90.00 120.00
Last column: nearest neighbours and their distance in Å.
Fractional coordinates of all 8 atoms:
Pr (0.0000, 0.0000, 0.0000)  8 Pd 3.06-3.11
Lu (0.3333, 0.6667, 0.5000)  8 Pd 2.89-2.95
Ga (0.6667, 0.3333, 0.2579)  6 Pd 2.64-2.66
Ga (0.6667, 0.3333, 0.7421)  6 Pd 2.64-2.66
Pd (0.0000, 0.0000, 0.3392)  3 Ga 2.66, 4 Pd 2.92-2.94, 3 Lu 2.95
Pd (0.0000, 0.0000, 0.6608)  3 Ga 2.66, 4 Pd 2.92-2.94, 3 Lu 2.95
Pd (0.3333, 0.6667, 0.1839)  3 Ga 2.64, 1 Lu 2.89, 3 Pd 2.92
Pd (0.3333, 0.6667, 0.8161)  3 Ga 2.64, 1 Lu 2.89, 3 Pd 2.92


Entry 2:
The following is a PBE-GGA calculation of crystalline In3Mo2W4N3 at its relaxed geometry, from OQMD via LeMat-Bulk.

Symmetry ... C2/c (15)
Total magnetic moment ... 0.0 Bohr magnetons per cell

abc: 5.4360 5.4360 14.3551
angles: 101.77 101.77 58.87
Last column: nearest neighbours and their distance in Å.
Fractional coordinates of all 24 atoms:
In (0.0677, 0.9323, 0.7500)  2 Mo 2.88, 4 W 2.98-3.04, 6 In 3.05-3.22
In (0.2406, 0.4139, 0.2523)  2 Mo 2.84-2.92, 4 W 2.98-3.05, 4 In 3.04-3.09
In (0.4139, 0.2406, 0.7523)  2 Mo 2.84-2.92, 4 W 2.98-3.05, 4 In 3.04-3.09
In (0.5861, 0.7594, 0.2477)  2 Mo 2.84-2.92, 4 W 2.98-3.05, 4 In 3.04-3.09
In (0.7594, 0.5861, 0.7477)  2 Mo 2.84-2.92, 4 W 2.98-3.05, 4 In 3.04-3.09
In (0.9323, 0.0677, 0.2500)  2 Mo 2.88, 4 W 2.98-3.04, 6 In 3.05-3.22
Mo (0.3511, 0.5143, 0.5934)  3 N 2.12-2.14
Mo (0.4857, 0.6489, 0.9066)  3 N 2.12-2.14
Mo (0.5143, 0.3511, 0.0934)  3 N 2.12-2.14
Mo (0.6489, 0.4857, 0.4066)  3 N 2.12-2.14
W (0.0206, 0.1900, 0.5740)  3 N 2.08-2.18
W (0.1332, 0.3166, 0.9222)  2 N 2.08-2.12
W (0.1900, 0.0206, 0.0740)  3 N 2.08-2.18
W (0.3166, 0.1332, 0.4222)  2 N 2.08-2.12
W (0.6834, 0.8668, 0.5778)  2 N 2.08-2.12
W (0.8100, 0.9794, 0.9260)  3 N 2.08-2.18
W (0.8668, 0.6834, 0.0778)  2 N 2.08-2.12
W (0.9794, 0.8100, 0.4260)  3 N 2.08-2.18
N (0.0000, 0.5000, 0.5000)  4 W 2.11-2.12, 2 Mo 2.12
N (0.2108, 0.6466, 0.9939)  3 W 2.08-2.18, 2 Mo 2.14
N (0.3534, 0.7892, 0.5061)  3 W 2.08-2.18, 2 Mo 2.14
N (0.5000, 0.0000, 0.0000)  4 W 2.11-2.12, 2 Mo 2.12
N (0.6466, 0.2108, 0.4939)  3 W 2.08-2.18, 2 Mo 2.14
N (0.7892, 0.3534, 0.0061)  3 W 2.08-2.18, 2 Mo 2.14


Entry 3:
The following is a PBE-GGA calculation of crystalline AgSnOs at its relaxed geometry, from OQMD via LeMat-Bulk.

Relative energy among the computed polymorphs ... 0.00 kcal/mol of atoms
Symmetry ... F-43m (216)
Total magnetic moment ... 0.0 Bohr magnetons per cell

abc: 4.4400 4.4400 4.4400
angles: 60.00 60.00 60.00
Last column: nearest neighbours and their distance in Å.
Fractional coordinates of all 3 atoms:
Ag (0.0000, 0.0000, 0.0000)  4 Os 2.72
Sn (0.5000, 0.5000, 0.5000)  4 Os 2.72
Os (0.2500, 0.2500, 0.2500)  4 Sn 2.72, 4 Ag 2.72


Entry 4:
The following is a PBE-GGA calculation of crystalline Re2As2O5 at its relaxed geometry, from OQMD via LeMat-Bulk.

Relative energy among the computed polymorphs ... 15.57 kcal/mol of atoms
Symmetry ... P4/mmm (123)
Total magnetic moment ... 4.5 Bohr magnetons per cell

abc: 4.0664 4.0664 6.3857
angles: 90.00 90.00 90.00
Last column: nearest neighbours and their distance in Å.
Fractional coordinates of all 9 atoms:
Re (0.0000, 0.0000, 0.0000)  8 O 2.38
Re (0.0000, 0.0000, 0.5000)  12 O 2.82-2.88
As (0.5000, 0.5000, 0.2093)  5 O 1.86-2.04
As (0.5000, 0.5000, 0.7907)  5 O 1.86-2.04
O (0.0000, 0.5000, 0.1930)  2 As 2.04
O (0.0000, 0.5000, 0.8070)  2 As 2.04
O (0.5000, 0.0000, 0.1930)  2 As 2.04
O (0.5000, 0.0000, 0.8070)  2 As 2.04
O (0.5000, 0.5000, 0.5000)  2 As 1.86


Entry 5:
The following is a PBE-GGA calculation of crystalline Zr4TlTeC2 at its relaxed geometry, from OQMD via LeMat-Bulk.

Symmetry ... P-6m2 (187)
Total magnetic moment ... 0.0 Bohr magnetons per cell

abc: 3.4671 3.4671 14.2556
angles: 90.00 90.00 120.00
Last column: nearest neighbours and their distance in Å.
Fractional coordinates of all 8 atoms:
Zr (0.0000, 0.0000, 0.1537)  3 C 2.36
Zr (0.0000, 0.0000, 0.8463)  3 C 2.36
Zr (0.3333, 0.6667, 0.3239)  3 C 2.33
Zr (0.3333, 0.6667, 0.6761)  3 C 2.33
Tl (0.0000, 0.0000, 0.5000)  6 Zr 3.21, 6 Tl 3.47
Te (0.3333, 0.6667, 0.0000)  6 Zr 2.97
C (0.6667, 0.3333, 0.2409)  6 Zr 2.33-2.36
C (0.6667, 0.3333, 0.7591)  6 Zr 2.33-2.36


Entry 6:
The following is a PBE-GGA calculation of crystalline AlRe3C at its relaxed geometry, from OQMD via LeMat-Bulk.

Symmetry ... Pm-3m (221)
Total magnetic moment ... 0.0 Bohr magnetons per cell

abc: 4.0812 4.0812 4.0812
angles: 90.00 90.00 90.00
Last column: nearest neighbours and their distance in Å.
Fractional coordinates of all 5 atoms:
Al (0.0000, 0.0000, 0.0000)  12 Re 2.89
Re (0.0000, 0.5000, 0.5000)  2 C 2.04
Re (0.5000, 0.0000, 0.5000)  2 C 2.04
Re (0.5000, 0.5000, 0.0000)  2 C 2.04
C (0.5000, 0.5000, 0.5000)  6 Re 2.04


no.,final energy (eV per atom)
1,-5.37
2,-8.65
3,-5.42
4,-6.27
5,-8.02
6,-9.79